1.
Here is a PBEsol-optimized structure of CrAgPt3 from Alexandria via LeMat-Bulk. Energies are from meta-GGA SCAN.

abc: 4.7651 4.7651 4.7651
angles: 90.00 90.00 90.00
Space group Pm-3m (No. 221)
Unique sites:
Cr  0.0000  0.0000  0.0000 x1
Ag  0.5000  0.5000  0.5000 x1
Pt  0.0000  0.5000  0.5000 x3

Total energy ... -50.509 eV per atom

=====

2.
Here is a PBEsol-optimized structure of CrRe2Ag from Alexandria via LeMat-Bulk. Energies are from meta-GGA SCAN.

abc: 3.8052 3.8052 7.7727
angles: 90.00 90.00 90.00
Space group I4/mmm (No. 139)
Unique sites:
Cr  0.0000  0.0000  0.0000 x2
Re  0.0000  0.5000  0.2500 x4
Ag  0.0000  0.0000  0.5000 x2

Energy above the most stable polymorph in this dataset ... 107.2 meV/atom
Total energy ... -47.419 eV per atom

=====

Number 1: D(E_F) 1.17 states/eV per atom. Number 2: D(E_F) 0.49 states/eV per atom.